Record 1
This record from the Alexandria database describes a geometry-optimized CsBaZnO2 structure. The functional is PBE.

Cell lengths 8.281, 6.438, 8.036 Å; angles 90.00, 116.33, 90.00 degrees
Space group P2/c (No. 13)
Unique sites:
Cs: 0.000 0.193 0.250 [2 per cell]
Ba: 0.500 0.497 0.750 [2 per cell]
Zn: 0.500 0.000 0.000 [2 per cell]
O: 0.403 0.256 0.453 [4 per cell]

- energy relative to the elements, uncorrected (eV per atom) = -1.465

Record 2
This record from the Alexandria database describes a geometry-optimized CsBa2Os structure. The functional is PBE.

Cell lengths 8.191, 8.191, 8.191 Å; angles 90.00, 90.00, 90.00 degrees
Space group Fm-3m (No. 225)
Unique sites:
Cs: 0.000 0.000 0.000 [4 per cell]
Ba: 0.250 0.250 0.250 [8 per cell]
Os: 0.000 0.000 0.500 [4 per cell]

- ΔH_f (0 K) (eV per atom) = 0.905

Record 3
This record from the Alexandria database describes a geometry-optimized CsBaOs3 structure. The functional is PBE.

Cell lengths 5.155, 5.155, 5.155 Å; angles 90.00, 90.00, 90.00 degrees
Space group Pm-3m (No. 221)
Unique sites:
Cs: 0.000 0.000 0.000 [1 per cell]
Ba: 0.500 0.500 0.500 [1 per cell]
Os: 0.000 0.000 0.500 [3 per cell]

- ΔH_f (0 K) (eV per atom) = 3.143

Record 4
This record from the Alexandria database describes a geometry-optimized Cs3BaOs structure. The functional is PBE.

Cell lengths 6.571, 6.571, 6.571 Å; angles 90.00, 90.00, 90.00 degrees
Space group Pm-3m (No. 221)
Unique sites:
Cs: 0.000 0.000 0.500 [3 per cell]
Ba: 0.500 0.500 0.500 [1 per cell]
Os: 0.000 0.000 0.000 [1 per cell]

- ΔH_f (0 K) (eV per atom) = 1.251

Record 5
This record from the Alexandria database describes a geometry-optimized CsBa3Os structure. The functional is PBE.

Cell lengths 6.342, 6.342, 6.342 Å; angles 90.00, 90.00, 90.00 degrees
Space group Pm-3m (No. 221)
Unique sites:
Cs: 0.000 0.000 0.000 [1 per cell]
Ba: 0.000 0.500 0.500 [3 per cell]
Os: 0.500 0.500 0.500 [1 per cell]

- ΔH_f (0 K) (eV per atom) = 0.460

Record 6
This record from the Alexandria database describes a geometry-optimized Cs2BaOsPd structure. The functional is PBE.

Cell lengths 6.348, 6.348, 5.001 Å; angles 90.00, 90.00, 90.00 degrees
Space group P4/mmm (No. 123)
Unique sites:
Cs: 0.000 0.500 0.000 [2 per cell]
Ba: 0.000 0.000 0.500 [1 per cell]
Os: 0.500 0.500 0.500 [1 per cell]
Pd: 0.500 0.500 0.000 [1 per cell]

- ΔH_f (0 K) (eV per atom) = 1.056

Record 7
This record from the Alexandria database describes a geometry-optimized CsRbBaOs2 structure. The functional is PBE.

Cell lengths 5.413, 5.413, 6.392 Å; angles 90.00, 90.00, 90.00 degrees
Space group P4/mmm (No. 123)
Unique sites:
Cs: 0.000 0.000 0.000 [1 per cell]
Rb: 0.500 0.500 0.000 [1 per cell]
Ba: 0.500 0.500 0.500 [1 per cell]
Os: 0.000 0.500 0.500 [2 per cell]

- ΔH_f (0 K) (eV per atom) = 2.098

Record 8
This record from the Alexandria database describes a geometry-optimized CsBa2SnOs structure. The functional is PBE.

Cell lengths 5.996, 5.996, 5.766 Å; angles 90.00, 90.00, 90.00 degrees
Space group P4/mmm (No. 123)
Unique sites:
Cs: 0.000 0.000 0.000 [1 per cell]
Ba: 0.000 0.500 0.500 [2 per cell]
Sn: 0.500 0.500 0.000 [1 per cell]
Os: 0.000 0.000 0.500 [1 per cell]

- ΔH_f (0 K) (eV per atom) = 0.602

Record 9
This record from the Alexandria database describes a geometry-optimized CsBa2P2 structure. The functional is PBE.

Cell lengths 5.970, 5.970, 12.489 Å; angles 90.00, 90.00, 90.00 degrees
Space group I4/mmm (No. 139)
Unique sites:
Cs: 0.000 0.000 0.000 [2 per cell]
Ba: 0.000 0.000 0.323 [4 per cell]
P: 0.000 0.500 0.250 [4 per cell]

- ΔH_f (0 K) (eV per atom) = -0.488

Record 10
This record from the Alexandria database describes a geometry-optimized CsBa2P2 structure. The functional is PBE.

Cell lengths 5.494, 5.494, 12.199 Å; angles 90.00, 90.00, 90.00 degrees
Space group I4/mmm (No. 139)
Unique sites:
Cs: 0.000 0.000 0.000 [2 per cell]
Ba: 0.000 0.500 0.250 [4 per cell]
P: 0.000 0.000 0.398 [4 per cell]

- ΔH_f (0 K) (eV per atom) = -0.469

Record 11
This record from the Alexandria database describes a geometry-optimized Cs2Ba4P structure. The functional is PBE.

Cell lengths 6.481, 6.481, 25.569 Å; angles 90.00, 90.00, 90.00 degrees
Space group I4/mmm (No. 139)
Unique sites:
Cs: 0.000 0.000 0.178 [4 per cell]
Ba: 0.000 0.000 0.381 [4 per cell]
Ba: 0.000 0.500 0.000 [4 per cell]
P: 0.000 0.000 0.500 [2 per cell]

- ΔH_f (0 K) (eV per atom) = -0.192

Record 12
This record from the Alexandria database describes a geometry-optimized CsBa2P2 structure. The functional is PBE.

Cell lengths 9.441, 9.441, 3.783 Å; angles 90.00, 90.00, 90.00 degrees
Space group P4/mbm (No. 127)
Unique sites:
Cs: 0.000 0.000 0.000 [2 per cell]
Ba: 0.132 0.368 0.000 [4 per cell]
P: 0.165 0.665 0.500 [4 per cell]

- ΔH_f (0 K) (eV per atom) = -0.624

Record 13
This record from the Alexandria database describes a geometry-optimized Cs3BaP structure. The functional is PBE.

Cell lengths 7.135, 7.135, 7.135 Å; angles 90.00, 90.00, 90.00 degrees
Space group Pm-3m (No. 221)
Unique sites:
Cs: 0.000 0.000 0.500 [3 per cell]
Ba: 0.500 0.500 0.500 [1 per cell]
P: 0.000 0.000 0.000 [1 per cell]

- ΔH_f (0 K) (eV per atom) = 0.177

Record 14
This record from the Alexandria database describes a geometry-optimized Cs2BaP structure. The functional is PBE.

Cell lengths 8.570, 8.570, 8.570 Å; angles 90.00, 90.00, 90.00 degrees
Space group Fm-3m (No. 225)
Unique sites:
Cs: 0.250 0.250 0.250 [8 per cell]
Ba: 0.000 0.000 0.000 [4 per cell]
P: 0.000 0.000 0.500 [4 per cell]

- ΔH_f (0 K) (eV per atom) = 0.228

Record 15
This record from the Alexandria database describes a geometry-optimized Cs2BaP structure. The functional is PBE.

Cell lengths 13.293, 13.293, 6.225 Å; angles 90.00, 90.00, 90.00 degrees
Space group I-42d (No. 122)
Unique sites:
Cs: 0.098 0.250 0.125 [8 per cell]
Ba: 0.000 0.000 0.500 [4 per cell]
P: 0.000 0.000 0.000 [4 per cell]

- ΔH_f (0 K) (eV per atom) = -0.162

Record 16
This record from the Alexandria database describes a geometry-optimized CsBaP3 structure. The functional is PBE.

Cell lengths 5.499, 5.499, 5.499 Å; angles 90.00, 90.00, 90.00 degrees
Space group Pm-3m (No. 221)
Unique sites:
Cs: 0.000 0.000 0.000 [1 per cell]
Ba: 0.500 0.500 0.500 [1 per cell]
P: 0.000 0.000 0.500 [3 per cell]

- ΔH_f (0 K) (eV per atom) = 0.966

Record 17
This record from the Alexandria database describes a geometry-optimized Cs2BaP2 structure. The functional is PBE.

Cell lengths 4.897, 4.897, 14.884 Å; angles 90.00, 90.00, 90.00 degrees
Space group I4/mmm (No. 139)
Unique sites:
Cs: 0.000 0.500 0.250 [4 per cell]
Ba: 0.000 0.000 0.000 [2 per cell]
P: 0.000 0.000 0.426 [4 per cell]

- ΔH_f (0 K) (eV per atom) = -0.313

Record 18
This record from the Alexandria database describes a geometry-optimized CsBaP3 structure. The functional is PBE.

Cell lengths 5.898, 5.898, 5.898 Å; angles 90.00, 90.00, 90.00 degrees
Space group Pm-3m (No. 221)
Unique sites:
Cs: 0.000 0.000 0.000 [1 per cell]
Ba: 0.500 0.500 0.500 [1 per cell]
P: 0.000 0.500 0.500 [3 per cell]

- ΔH_f (0 K) (eV per atom) = 0.742

Record 19
This record from the Alexandria database describes a geometry-optimized CsRbBaPPt structure. The functional is PBE.

Cell lengths 6.086, 6.162, 6.792 Å; angles 70.46, 75.54, 74.27 degrees
Space group P1 (No. 1)
Unique sites:
Cs: 0.000 0.000 0.000 [1 per cell]
Rb: 0.216 0.273 0.350 [1 per cell]
Ba: 0.555 0.568 0.620 [1 per cell]
P: 0.722 0.051 0.555 [1 per cell]
Pt: 0.010 0.721 0.617 [1 per cell]

- ΔH_f (0 K) (eV per atom) = -0.293

Record 20
This record from the Alexandria database describes a geometry-optimized CsRbBaPPt structure. The functional is PBE.

Cell lengths 5.185, 6.211, 15.659 Å; angles 90.00, 90.00, 90.00 degrees
Space group Imm2 (No. 44)
Unique sites:
Cs: 0.000 0.000 0.000 [2 per cell]
Rb: 0.000 0.000 0.287 [2 per cell]
Ba: 0.000 0.000 0.708 [2 per cell]
P: 0.000 0.500 0.326 [2 per cell]
Pt: 0.000 0.500 0.651 [2 per cell]

- ΔH_f (0 K) (eV per atom) = -0.135